No. 1
DFT (PBE) results for crystalline LiSnIrO4 at its relaxed geometry.

## Properties
* space group: No. 74
* spin magnetization: 0.00 μB per formula unit
* total energy: -6.281 eV/atom

Cell and atoms, written as POSCAR:
```
LiSnIrO4
1.0
-3.170 3.174 4.383
3.170 -3.174 4.383
3.170 3.174 -4.383
Li Sn Ir O
2 2 2 8
direct
0.383 0.133 0.250
0.617 0.867 0.750
0.000 0.000 0.500
0.000 0.500 0.000
0.000 0.500 0.500
0.500 0.500 0.000
0.215 0.738 0.477
0.239 0.262 0.977
0.239 0.274 0.535
0.239 0.703 0.965
0.761 0.297 0.035
0.761 0.726 0.465
0.761 0.738 0.023
0.785 0.262 0.523
```

---

No. 2
DFT (PBE) results for crystalline Tb2Pm5Ho at its relaxed geometry.

## Properties
* space group: No. 55
* spin magnetization: 0.00 μB per formula unit
* ΔE_f: 0.015 eV/atom
* total energy: -4.683 eV/atom

Cell and atoms, written as POSCAR:
```
Tb2Pm5Ho
1.0
7.226 0.000 0.000
0.000 14.457 0.000
0.000 0.000 5.103
Tb Pm Ho
4 10 2
direct
0.250 0.124 0.000
0.250 0.624 0.000
0.750 0.376 0.000
0.750 0.876 0.000
0.000 0.000 0.500
0.001 0.749 0.500
0.249 0.376 0.000
0.251 0.876 0.000
0.499 0.249 0.500
0.500 0.500 0.500
0.501 0.751 0.500
0.749 0.124 0.000
0.751 0.624 0.000
0.999 0.251 0.500
0.000 0.500 0.500
0.500 0.000 0.500
```